Record 1
## PaTiS6 (PBE)

Data for a relaxed PaTiS6 crystal.

a = 4.747 Å, b = 5.630 Å, c = 6.438 Å
α = 102.02°, β = 90.33°, γ = 100.87°
Positions (direct):
Pa (0.000, 0.000, 0.000)
Ti (0.500, 0.500, 0.500)
S (0.136, 0.260, 0.689)
S (0.162, 0.511, 0.222)
S (0.470, 0.868, 0.764)
S (0.530, 0.132, 0.236)
S (0.838, 0.489, 0.778)
S (0.864, 0.740, 0.311)



Record 2
## PaTlS3 (PBE)

Data for a relaxed PaTlS3 crystal.

a = 8.218 Å, b = 8.218 Å, c = 8.218 Å
α = 51.20°, β = 51.20°, γ = 51.20°
Positions (direct):
Pa (0.164, 0.164, 0.164)
Pa (0.836, 0.836, 0.836)
Tl (0.362, 0.362, 0.362)
Tl (0.638, 0.638, 0.638)
S (0.035, 0.437, 0.818)
S (0.182, 0.965, 0.563)
S (0.437, 0.818, 0.035)
S (0.563, 0.182, 0.965)
S (0.818, 0.035, 0.437)
S (0.965, 0.563, 0.182)

Output
**Offset from the most stable computed form**: 0.000 eV/atom



Record 3
## PaTlS2 (PBE)

Data for a relaxed PaTlS2 crystal.

a = 8.595 Å, b = 8.595 Å, c = 8.595 Å
α = 26.34°, β = 26.34°, γ = 26.34°
Positions (direct):
Pa (0.000, 0.000, 0.000)
Tl (0.165, 0.165, 0.165)
S (0.396, 0.396, 0.396)
S (0.604, 0.604, 0.604)



Record 4
## PaTlS2 (PBE)

Data for a relaxed PaTlS2 crystal.

a = 3.421 Å, b = 3.421 Å, c = 8.144 Å
α = 90.00°, β = 90.00°, γ = 90.00°
Positions (direct):
Pa (0.000, 0.000, 0.000)
Tl (0.000, 0.000, 0.500)
S (0.500, 0.500, 0.186)
S (0.500, 0.500, 0.814)



Record 5
## Pa2TlS (PBE)

Data for a relaxed Pa2TlS crystal.

a = 9.601 Å, b = 9.601 Å, c = 9.601 Å
α = 20.48°, β = 20.48°, γ = 20.48°
Positions (direct):
Pa (0.235, 0.235, 0.235)
Pa (0.765, 0.765, 0.765)
Tl (0.000, 0.000, 0.000)
S (0.500, 0.500, 0.500)



Record 6
## Pa2TlS4 (PBE)

Data for a relaxed Pa2TlS4 crystal.

a = 8.399 Å, b = 8.399 Å, c = 8.399 Å
α = 120.06°, β = 120.06°, γ = 89.90°
Positions (direct):
Pa (0.000, 0.000, 0.000)
Pa (0.000, 0.000, 0.500)
Pa (0.000, 0.500, 0.000)
Pa (0.500, 0.000, 0.500)
Tl (0.375, 0.625, 0.750)
Tl (0.625, 0.375, 0.250)
S (0.193, 0.231, 0.962)
S (0.231, 0.193, 0.462)
S (0.231, 0.769, 0.038)
S (0.231, 0.769, 0.462)
S (0.769, 0.231, 0.538)
S (0.769, 0.231, 0.962)
S (0.769, 0.807, 0.538)
S (0.807, 0.769, 0.038)



Record 7
## PaTl5S5 (PBE)

Data for a relaxed PaTl5S5 crystal.

a = 7.632 Å, b = 7.632 Å, c = 8.922 Å
α = 111.63°, β = 111.63°, γ = 44.96°
Positions (direct):
Pa (0.000, 0.000, 0.000)
Tl (0.000, 0.000, 0.500)
Tl (0.299, 0.299, 0.697)
Tl (0.345, 0.345, 0.197)
Tl (0.655, 0.655, 0.803)
Tl (0.701, 0.701, 0.303)
S (0.134, 0.134, 0.299)
S (0.151, 0.151, 0.899)
S (0.500, 0.500, 0.000)
S (0.849, 0.849, 0.101)
S (0.866, 0.866, 0.701)



Record 8
## PaTlS (PBE)

Data for a relaxed PaTlS crystal.

a = 3.534 Å, b = 3.534 Å, c = 13.234 Å
α = 90.00°, β = 90.00°, γ = 120.00°
Positions (direct):
Pa (0.000, 0.000, 0.146)
Pa (0.000, 0.000, 0.854)
Tl (0.667, 0.333, 0.352)
Tl (0.667, 0.333, 0.648)
S (0.000, 0.000, 0.500)
S (0.667, 0.333, 0.000)



Record 9
## Pa6TlS8 (PBE)

Data for a relaxed Pa6TlS8 crystal.

a = 7.476 Å, b = 7.476 Å, c = 7.476 Å
α = 85.89°, β = 85.89°, γ = 85.89°
Positions (direct):
Pa (0.212, 0.436, 0.612)
Pa (0.388, 0.788, 0.564)
Pa (0.436, 0.612, 0.212)
Pa (0.564, 0.388, 0.788)
Pa (0.612, 0.212, 0.436)
Pa (0.788, 0.564, 0.388)
Tl (0.000, 0.000, 0.000)
S (0.097, 0.736, 0.375)
S (0.264, 0.625, 0.903)
S (0.290, 0.290, 0.290)
S (0.375, 0.097, 0.736)
S (0.625, 0.903, 0.264)
S (0.710, 0.710, 0.710)
S (0.736, 0.375, 0.097)
S (0.903, 0.264, 0.625)



Record 10
## PaTl3S4 (PBE)

Data for a relaxed PaTl3S4 crystal.

a = 7.703 Å, b = 7.703 Å, c = 4.172 Å
α = 90.00°, β = 90.00°, γ = 108.67°
Positions (direct):
Pa (0.000, 0.000, 0.000)
Tl (0.000, 0.500, 0.500)
Tl (0.500, 0.000, 0.500)
Tl (0.500, 0.500, 0.000)
S (0.200, 0.200, 0.500)
S (0.204, 0.796, 0.000)
S (0.796, 0.204, 0.000)
S (0.800, 0.800, 0.500)



Record 11
## Pa2Tl2S7 (PBE)

Data for a relaxed Pa2Tl2S7 crystal.

a = 6.392 Å, b = 6.392 Å, c = 7.394 Å
α = 90.00°, β = 90.00°, γ = 97.89°
Positions (direct):
Pa (0.224, 0.776, 0.000)
Pa (0.776, 0.224, 0.000)
Tl (0.278, 0.278, 0.500)
Tl (0.722, 0.722, 0.500)
S (0.000, 0.000, 0.222)
S (0.000, 0.000, 0.778)
S (0.000, 0.500, 0.228)
S (0.000, 0.500, 0.772)
S (0.500, 0.000, 0.228)
S (0.500, 0.000, 0.772)
S (0.500, 0.500, 0.000)



Record 12
## Pa2TlS7 (PBE)

Data for a relaxed Pa2TlS7 crystal.

a = 7.494 Å, b = 7.494 Å, c = 5.223 Å
α = 90.00°, β = 90.00°, γ = 113.23°
Positions (direct):
Pa (0.216, 0.784, 0.000)
Pa (0.784, 0.216, 0.000)
Tl (0.500, 0.500, 0.500)
S (0.000, 0.000, 0.000)
S (0.166, 0.407, 0.000)
S (0.223, 0.777, 0.500)
S (0.407, 0.166, 0.000)
S (0.593, 0.834, 0.000)
S (0.777, 0.223, 0.500)
S (0.834, 0.593, 0.000)



Record 13
## PaTl2S4 (PBE)

Data for a relaxed PaTl2S4 crystal.

a = 7.600 Å, b = 7.600 Å, c = 7.600 Å
α = 110.16°, β = 110.16°, γ = 108.11°
Positions (direct):
Pa (0.000, 0.000, 0.000)
Pa (0.750, 0.250, 0.500)
Tl (0.280, 0.125, 0.655)
Tl (0.375, 0.720, 0.845)
Tl (0.470, 0.625, 0.345)
Tl (0.875, 0.530, 0.155)
S (0.077, 0.330, 0.861)
S (0.080, 0.327, 0.361)
S (0.281, 0.920, 0.248)
S (0.469, 0.217, 0.139)
S (0.670, 0.531, 0.748)
S (0.673, 0.033, 0.752)
S (0.783, 0.923, 0.252)
S (0.967, 0.719, 0.639)

Output
**Offset from the most stable computed form**: 0.109 eV/atom



Record 14
## Pa3Tl5S12 (PBE)

Data for a relaxed Pa3Tl5S12 crystal.

a = 13.941 Å, b = 13.941 Å, c = 13.941 Å
α = 109.47°, β = 109.47°, γ = 109.47°
Positions (direct):
Pa (0.125, 0.250, 0.375)
Pa (0.125, 0.375, 0.750)
Pa (0.250, 0.375, 0.125)
Pa (0.250, 0.875, 0.625)
Pa (0.375, 0.125, 0.250)
Pa (0.375, 0.750, 0.125)
Pa (0.625, 0.250, 0.875)
Pa (0.625, 0.875, 0.750)
Pa (0.750, 0.125, 0.375)
Pa (0.750, 0.625, 0.875)
Pa (0.875, 0.625, 0.250)
Pa (0.875, 0.750, 0.625)
Tl (0.000, 0.000, 0.000)
Tl (0.000, 0.000, 0.500)
Tl (0.000, 0.500, 0.000)
Tl (0.000, 0.500, 0.500)
Tl (0.125, 0.750, 0.875)
Tl (0.125, 0.875, 0.250)
Tl (0.250, 0.125, 0.875)
Tl (0.250, 0.625, 0.375)
Tl (0.375, 0.250, 0.625)
Tl (0.375, 0.625, 0.750)
Tl (0.500, 0.000, 0.000)
Tl (0.500, 0.000, 0.500)
Tl (0.500, 0.500, 0.000)
Tl (0.500, 0.500, 0.500)
Tl (0.625, 0.375, 0.250)
Tl (0.625, 0.750, 0.375)
Tl (0.750, 0.375, 0.625)
Tl (0.750, 0.875, 0.125)
Tl (0.875, 0.125, 0.750)
Tl (0.875, 0.250, 0.125)
S (0.064, 0.232, 0.145)
S (0.064, 0.331, 0.918)
S (0.082, 0.645, 0.413)
S (0.082, 0.936, 0.669)
S (0.087, 0.732, 0.669)
S (0.087, 0.855, 0.418)
S (0.145, 0.064, 0.232)
S (0.145, 0.582, 0.913)
S (0.169, 0.232, 0.587)
S (0.169, 0.436, 0.582)
S (0.232, 0.145, 0.064)
S (0.232, 0.587, 0.169)
S (0.268, 0.331, 0.913)
S (0.268, 0.436, 0.355)
S (0.331, 0.913, 0.268)
S (0.331, 0.918, 0.064)
S (0.355, 0.268, 0.436)
S (0.355, 0.587, 0.918)
S (0.413, 0.082, 0.645)
S (0.413, 0.831, 0.768)
S (0.418, 0.087, 0.855)
S (0.418, 0.831, 0.564)
S (0.436, 0.355, 0.268)
S (0.436, 0.582, 0.169)
S (0.564, 0.418, 0.831)
S (0.564, 0.645, 0.732)
S (0.582, 0.169, 0.436)
S (0.582, 0.913, 0.145)
S (0.587, 0.169, 0.232)
S (0.587, 0.918, 0.355)
S (0.645, 0.413, 0.082)
S (0.645, 0.732, 0.564)
S (0.669, 0.082, 0.936)
S (0.669, 0.087, 0.732)
S (0.732, 0.564, 0.645)
S (0.732, 0.669, 0.087)
S (0.768, 0.413, 0.831)
S (0.768, 0.855, 0.936)
S (0.831, 0.564, 0.418)
S (0.831, 0.768, 0.413)
S (0.855, 0.418, 0.087)
S (0.855, 0.936, 0.768)
S (0.913, 0.145, 0.582)
S (0.913, 0.268, 0.331)
S (0.918, 0.064, 0.331)
S (0.918, 0.355, 0.587)
S (0.936, 0.669, 0.082)
S (0.936, 0.768, 0.855)



Record 15
## Pa3TlS6 (PBE)

Data for a relaxed Pa3TlS6 crystal.

a = 10.236 Å, b = 4.095 Å, c = 12.859 Å
α = 90.00°, β = 105.78°, γ = 90.00°
Positions (direct):
Pa (0.028, 0.250, 0.150)
Pa (0.224, 0.250, 0.690)
Pa (0.311, 0.750, 0.425)
Pa (0.689, 0.250, 0.575)
Pa (0.776, 0.750, 0.310)
Pa (0.972, 0.750, 0.850)
Tl (0.414, 0.250, 0.080)
Tl (0.586, 0.750, 0.920)
S (0.035, 0.750, 0.297)
S (0.136, 0.750, 0.057)
S (0.141, 0.750, 0.554)
S (0.250, 0.750, 0.834)
S (0.297, 0.250, 0.282)
S (0.419, 0.250, 0.578)
S (0.581, 0.750, 0.422)
S (0.703, 0.750, 0.718)
S (0.750, 0.250, 0.166)
S (0.859, 0.250, 0.446)
S (0.864, 0.250, 0.943)
S (0.965, 0.250, 0.703)



Record 16
## PaTl5S4 (PBE)

Data for a relaxed PaTl5S4 crystal.

a = 9.417 Å, b = 9.417 Å, c = 8.557 Å
α = 105.37°, β = 105.37°, γ = 24.97°
Positions (direct):
Pa (0.000, 0.000, 0.000)
Tl (0.000, 0.000, 0.500)
Tl (0.328, 0.328, 0.660)
Tl (0.339, 0.339, 0.195)
Tl (0.661, 0.661, 0.805)
Tl (0.672, 0.672, 0.340)
S (0.151, 0.151, 0.069)
S (0.493, 0.493, 0.784)
S (0.507, 0.507, 0.216)
S (0.849, 0.849, 0.931)



Record 17
## PaTl2S4 (PBE)

Data for a relaxed PaTl2S4 crystal.

a = 7.580 Å, b = 12.866 Å, c = 4.107 Å
α = 90.00°, β = 90.00°, γ = 90.00°
Positions (direct):
Pa (0.000, 0.000, 0.000)
Pa (0.500, 0.500, 0.000)
Tl (0.070, 0.302, 0.500)
Tl (0.430, 0.802, 0.500)
Tl (0.570, 0.198, 0.500)
Tl (0.930, 0.698, 0.500)
S (0.144, 0.811, 0.000)
S (0.205, 0.054, 0.500)
S (0.295, 0.554, 0.500)
S (0.356, 0.311, 0.000)
S (0.644, 0.689, 0.000)
S (0.705, 0.446, 0.500)
S (0.795, 0.946, 0.500)
S (0.856, 0.189, 0.000)

Output
**Offset from the most stable computed form**: 0.000 eV/atom



Record 18
## PaTlS3 (PBE)

Data for a relaxed PaTlS3 crystal.

a = 5.251 Å, b = 5.251 Å, c = 5.251 Å
α = 90.00°, β = 90.00°, γ = 90.00°
Positions (direct):
Pa (0.000, 0.000, 0.000)
Tl (0.500, 0.500, 0.500)
S (0.000, 0.000, 0.500)
S (0.000, 0.500, 0.000)
S (0.500, 0.000, 0.000)

Output
**Offset from the most stable computed form**: 0.045 eV/atom



Record 19
## Tm2PaTl2S6 (PBE)

Data for a relaxed Tm2PaTl2S6 crystal.

a = 6.894 Å, b = 6.894 Å, c = 7.958 Å
α = 98.35°, β = 98.35°, γ = 120.05°
Positions (direct):
Tm (0.166, 0.834, 0.000)
Tm (0.834, 0.166, 0.000)
Pa (0.500, 0.500, 0.000)
Tl (0.333, 0.667, 0.500)
Tl (0.667, 0.333, 0.500)
S (0.103, 0.438, 0.808)
S (0.232, 0.232, 0.193)
S (0.438, 0.103, 0.808)
S (0.562, 0.897, 0.192)
S (0.768, 0.768, 0.807)
S (0.897, 0.562, 0.192)



Calculated values (eV per cell) of total energy for the records, taken in order: -49.70; -60.97; -24.57; -24.43; -27.96; -93.35; -50.10; -34.06; -108.21; -40.41; -63.64; -59.62; -72.51; -413.02; -139.32; -44.75; -74.04; -30.26; -64.65.